1.
This record from the Alexandria database describes a geometry-optimized Na2Sn4PtAu3 structure. The functional is PBE-GGA.

The structure in extended XYZ format:
```
10
Lattice="-0.7256 -2.6363 3.9020 0.4089 -3.9684 -2.6051 10.8844 -0.1436 1.9271" Properties=species:S:1:pos:R:3 pbc="T T T"
Na 2.5878 -1.3571 2.4734
Na 8.1382 -2.0889 0.1021
Sn -0.1584 -3.3024 0.6485
Sn 0.0000 0.0000 0.0000
Sn 6.3657 -1.4069 3.1423
Sn 4.3603 -2.0391 -0.5668
Pt 5.2838 -3.3742 1.6120
Au 5.4422 -0.0718 0.9635
Au 9.0186 -1.4419 3.6120
Au 1.7074 -2.0040 -1.0365
```

Computed properties:
- volume (Å³ per cell) = 251.0
- space-group type = P-4m2 (115)
- energy of formation (eV/atom) = -0.286
- size of the total moment (μB per atom) = 0.00



2.
This record from the Alexandria database describes a geometry-optimized NaSnPtAu structure. The functional is PBE-GGA.

The structure in extended XYZ format:
```
4
Lattice="4.7355 0.0000 0.0000 2.3677 4.1011 0.0000 2.3677 1.3670 3.8665" Properties=species:S:1:pos:R:3 pbc="T T T"
Na 0.0000 0.0000 0.0000
Au 2.3677 1.3670 0.9666
Sn 4.7355 2.7340 1.9333
Pt 7.1032 4.1011 2.8999
```

Computed properties:
- volume (Å³ per cell) = 75.1
- space-group type = F-43m (216)
- energy of formation (eV/atom) = -0.247
- size of the total moment (μB per atom) = 0.00



3.
This record from the Alexandria database describes a geometry-optimized NaThPtAu structure. The functional is PBE-GGA.

The structure in extended XYZ format:
```
4
Lattice="-0.8139 -3.0549 -3.9018 1.2331 -4.8579 0.3145 -3.5992 -3.4928 0.2538" Properties=species:S:1:pos:R:3 pbc="T T T"
Na -1.5900 -5.7028 -1.6667
Au -2.3849 -8.5542 -2.5001
Pt -0.7950 -2.8514 -0.8334
Th 0.0000 0.0000 0.0000
```

Computed properties:
- volume (Å³ per cell) = 89.5
- space-group type = F-43m (216)
- energy of formation (eV/atom) = -0.626
- size of the total moment (μB per atom) = 0.00